This record from the Alexandria database describes a relaxed structure of Cd2GaAs2. The functional is PBE.

Output
**Offset from the most stable computed form**: 0.0755 eV/atom
**V**: 23.82 Å³/atom
**Energy of formation**: 184 meV per atom
**Symmetry**: I4/mmm

abc: 4.270 4.270 7.198
angles: 72.75 72.75 90.00
Fractional coordinates of all 5 atoms:
As: 0.250 0.750 0.500
Ga: 0.000 0.000 0.000
Cd: 0.605 0.605 0.791
Cd: 0.395 0.395 0.209
As: 0.750 0.250 0.500